Entry 1:
This record from Alexandria describes an optimized crystal structure of Mg6TiVO8. The functional is GGA+U.

```
data_Mg6TiVO8
_space_group_name_H-M_alt 'P 1'
_space_group_IT_number 1
_cell_length_a 4.2921
_cell_length_b 4.2921
_cell_length_c 8.6517
_cell_angle_alpha 90.00
_cell_angle_beta 90.00
_cell_angle_gamma 90.00
loop_
_space_group_symop_operation_xyz
'x,y,z'
loop_
_atom_site_label
_atom_site_type_symbol
_atom_site_fract_x
_atom_site_fract_y
_atom_site_fract_z
Mg1 Mg 0.0000 0.0000 0.0000
Mg2 Mg 0.0000 0.5000 0.2464
Mg3 Mg 0.0000 0.5000 0.7536
Mg4 Mg 0.5000 0.0000 0.2464
Mg5 Mg 0.5000 0.0000 0.7536
Mg6 Mg 0.5000 0.5000 0.0000
Ti1 Ti 0.0000 0.0000 0.5000
V1 V 0.5000 0.5000 0.5000
O1 O 0.0000 0.0000 0.2428
O2 O 0.0000 0.0000 0.7572
O3 O 0.0000 0.5000 0.0000
O4 O 0.0000 0.5000 0.5000
O5 O 0.5000 0.0000 0.0000
O6 O 0.5000 0.0000 0.5000
O7 O 0.5000 0.5000 0.2457
O8 O 0.5000 0.5000 0.7543
```

DFT total energy: -6.49 eV per atom

Entry 2:
This record from Alexandria describes an optimized crystal structure of Mg6TiVO8. The functional is GGA+U.

```
data_Mg6TiVO8
_space_group_name_H-M_alt 'P 1'
_space_group_IT_number 1
_cell_length_a 4.3043
_cell_length_b 4.3043
_cell_length_c 8.6605
_cell_angle_alpha 90.00
_cell_angle_beta 90.00
_cell_angle_gamma 90.00
loop_
_space_group_symop_operation_xyz
'x,y,z'
loop_
_atom_site_label
_atom_site_type_symbol
_atom_site_fract_x
_atom_site_fract_y
_atom_site_fract_z
Mg1 Mg 0.0000 0.0000 0.0000
Mg2 Mg 0.0000 0.0000 0.5000
Mg3 Mg 0.0000 0.5000 0.2490
Mg4 Mg 0.0000 0.5000 0.7510
Mg5 Mg 0.5000 0.0000 0.2490
Mg6 Mg 0.5000 0.0000 0.7510
Ti1 Ti 0.5000 0.5000 0.5000
V1 V 0.5000 0.5000 0.0000
O1 O 0.0000 0.0000 0.2501
O2 O 0.0000 0.0000 0.7499
O3 O 0.0000 0.5000 0.0000
O4 O 0.0000 0.5000 0.5000
O5 O 0.5000 0.0000 0.0000
O6 O 0.5000 0.0000 0.5000
O7 O 0.5000 0.5000 0.2495
O8 O 0.5000 0.5000 0.7505
```

DFT total energy: -6.48 eV per atom

Question: DFT total energy of number 1 (Mg6TiVO8)?
Answer: -6.49 eV per atom